# SmYNp2As4 (PBE-GGA, relaxed)
# - total magnetization (μB per cell) = 0.042
# - calculated formation energy (eV per formula unit) = -8.7
# - total DFT energy (no corrections) (eV/atom) = -8.04
data_SmYNp2As4
_chemical_formula_sum 'Sm1 Y1 Np2 As4'
_symmetry_space_group_name_H-M 'P 1'
_symmetry_Int_Tables_number 1
_cell_length_a 7.169
_cell_length_b 4.115
_cell_length_c 7.173
_cell_angle_alpha 90.00
_cell_angle_beta 109.27
_cell_angle_gamma 90.00
loop_
_symmetry_equiv_pos_as_xyz
'x,y,z'
loop_
_atom_site_label
_atom_site_type_symbol
_atom_site_fract_x
_atom_site_fract_y
_atom_site_fract_z
Sm1 Sm 0.000 0.000 0.000
Y1 Y 0.500 0.500 0.000
Np1 Np 0.000 0.500 0.500
Np2 Np 0.500 0.000 0.500
As1 As 0.251 0.000 0.745
As2 As 0.255 0.500 0.257
As3 As 0.745 0.500 0.743
As4 As 0.749 0.000 0.255

---

# SmY2NpAs4 (PBE-GGA, relaxed)
# - total magnetization (μB per cell) = 3.775
# - calculated formation energy (eV per formula unit) = -10.6
# - total DFT energy (no corrections) (eV/atom) = -7.47
data_SmY2NpAs4
_chemical_formula_sum 'Sm1 Y2 Np1 As4'
_symmetry_space_group_name_H-M 'P 1'
_symmetry_Int_Tables_number 1
_cell_length_a 7.167
_cell_length_b 4.137
_cell_length_c 7.175
_cell_angle_alpha 90.00
_cell_angle_beta 109.34
_cell_angle_gamma 90.00
loop_
_symmetry_equiv_pos_as_xyz
'x,y,z'
loop_
_atom_site_label
_atom_site_type_symbol
_atom_site_fract_x
_atom_site_fract_y
_atom_site_fract_z
Sm1 Sm 0.000 0.000 0.000
Y1 Y 0.500 0.000 0.500
Y2 Y 0.500 0.500 0.000
Np1 Np 0.000 0.500 0.500
As1 As 0.250 0.000 0.746
As2 As 0.251 0.500 0.256
As3 As 0.749 0.500 0.744
As4 As 0.750 0.000 0.254

---

# Np2SnAs (PBE-GGA, relaxed)
# - total magnetization (μB per cell) = 8.525
# - distance to the lowest polymorph of the same formula (eV/atom) = 0.0000
# - calculated formation energy (eV per formula unit) = -1.1
# - total DFT energy (no corrections) (eV/atom) = -8.92
data_Np2SnAs
_chemical_formula_sum 'Np2 Sn1 As1'
_symmetry_space_group_name_H-M 'P 1'
_symmetry_Int_Tables_number 1
_cell_length_a 3.439
_cell_length_b 3.439
_cell_length_c 8.013
_cell_angle_alpha 90.00
_cell_angle_beta 90.00
_cell_angle_gamma 90.00
loop_
_symmetry_equiv_pos_as_xyz
'x,y,z'
loop_
_atom_site_label
_atom_site_type_symbol
_atom_site_fract_x
_atom_site_fract_y
_atom_site_fract_z
Np1 Np 0.000 0.000 0.214
Np2 Np 0.000 0.000 0.786
Sn1 Sn 0.500 0.500 0.500
As1 As 0.500 0.500 0.000

---

# NpSnAs (PBE-GGA, relaxed)
# - total magnetization (μB per cell) = 2.018
# - calculated formation energy (eV per formula unit) = 0.0
# - total DFT energy (no corrections) (eV/atom) = -7.19
data_NpSnAs
_chemical_formula_sum 'Np2 Sn2 As2'
_symmetry_space_group_name_H-M 'P 1'
_symmetry_Int_Tables_number 1
_cell_length_a 4.730
_cell_length_b 4.730
_cell_length_c 7.481
_cell_angle_alpha 90.00
_cell_angle_beta 90.00
_cell_angle_gamma 120.00
loop_
_symmetry_equiv_pos_as_xyz
'x,y,z'
loop_
_atom_site_label
_atom_site_type_symbol
_atom_site_fract_x
_atom_site_fract_y
_atom_site_fract_z
Np1 Np 0.000 0.000 0.155
Np2 Np 0.000 0.000 0.845
Sn1 Sn 0.333 0.667 0.408
Sn2 Sn 0.667 0.333 0.592
As1 As 0.333 0.667 0.973
As2 As 0.667 0.333 0.027

---

# Np2SnAs (PBE-GGA, relaxed)
# - total magnetization (μB per cell) = 8.113
# - distance to the lowest polymorph of the same formula (eV/atom) = 0.1343
# - calculated formation energy (eV per formula unit) = -0.6
# - total DFT energy (no corrections) (eV/atom) = -8.79
data_Np2SnAs
_chemical_formula_sum 'Np2 Sn1 As1'
_symmetry_space_group_name_H-M 'P 1'
_symmetry_Int_Tables_number 1
_cell_length_a 8.333
_cell_length_b 8.333
_cell_length_c 8.333
_cell_angle_alpha 27.30
_cell_angle_beta 27.30
_cell_angle_gamma 27.30
loop_
_symmetry_equiv_pos_as_xyz
'x,y,z'
loop_
_atom_site_label
_atom_site_type_symbol
_atom_site_fract_x
_atom_site_fract_y
_atom_site_fract_z
Np1 Np 0.240 0.240 0.240
Np2 Np 0.760 0.760 0.760
Sn1 Sn 0.000 0.000 0.000
As1 As 0.500 0.500 0.500

---

# NpSn2As (PBE-GGA, relaxed)
# - total magnetization (μB per cell) = 3.644
# - calculated formation energy (eV per formula unit) = -0.8
# - total DFT energy (no corrections) (eV/atom) = -6.60
data_NpSn2As
_chemical_formula_sum 'Np1 Sn2 As1'
_symmetry_space_group_name_H-M 'P 1'
_symmetry_Int_Tables_number 1
_cell_length_a 4.310
_cell_length_b 4.310
_cell_length_c 5.005
_cell_angle_alpha 90.00
_cell_angle_beta 90.00
_cell_angle_gamma 90.00
loop_
_symmetry_equiv_pos_as_xyz
'x,y,z'
loop_
_atom_site_label
_atom_site_type_symbol
_atom_site_fract_x
_atom_site_fract_y
_atom_site_fract_z
Np1 Np 0.000 0.000 0.000
Sn1 Sn 0.000 0.500 0.500
Sn2 Sn 0.500 0.000 0.500
As1 As 0.500 0.500 0.000

---

# SrNpAs2 (PBE-GGA, relaxed)
# - total magnetization (μB per cell) = 2.999
# - distance to the lowest polymorph of the same formula (eV/atom) = 0.0000
# - calculated formation energy (eV per formula unit) = -3.6
# - total DFT energy (no corrections) (eV/atom) = -6.88
data_SrNpAs2
_chemical_formula_sum 'Sr1 Np1 As2'
_symmetry_space_group_name_H-M 'P 1'
_symmetry_Int_Tables_number 1
_cell_length_a 7.511
_cell_length_b 7.511
_cell_length_c 7.511
_cell_angle_alpha 32.93
_cell_angle_beta 32.93
_cell_angle_gamma 32.93
loop_
_symmetry_equiv_pos_as_xyz
'x,y,z'
loop_
_atom_site_label
_atom_site_type_symbol
_atom_site_fract_x
_atom_site_fract_y
_atom_site_fract_z
Sr1 Sr 0.000 0.000 0.000
Np1 Np 0.500 0.500 0.500
As1 As 0.238 0.238 0.238
As2 As 0.762 0.762 0.762

---

# SrNpAs2 (PBE-GGA, relaxed)
# - total magnetization (μB per cell) = 2.999
# - distance to the lowest polymorph of the same formula (eV/atom) = 0.0764
# - calculated formation energy (eV per formula unit) = -3.3
# - total DFT energy (no corrections) (eV/atom) = -6.80
data_SrNpAs2
_chemical_formula_sum 'Sr1 Np1 As2'
_symmetry_space_group_name_H-M 'P 1'
_symmetry_Int_Tables_number 1
_cell_length_a 7.711
_cell_length_b 7.711
_cell_length_c 7.711
_cell_angle_alpha 31.78
_cell_angle_beta 31.78
_cell_angle_gamma 31.78
loop_
_symmetry_equiv_pos_as_xyz
'x,y,z'
loop_
_atom_site_label
_atom_site_type_symbol
_atom_site_fract_x
_atom_site_fract_y
_atom_site_fract_z
Sr1 Sr 0.000 0.000 0.000
Np1 Np 0.171 0.171 0.171
As1 As 0.575 0.575 0.575
As2 As 0.765 0.765 0.765

---

# Sr3NpAs4 (PBE-GGA, relaxed)
# - total magnetization (μB per cell) = 1.982
# - calculated formation energy (eV per formula unit) = -7.5
# - total DFT energy (no corrections) (eV/atom) = -5.51
data_Sr3NpAs4
_chemical_formula_sum 'Sr6 Np2 As8'
_symmetry_space_group_name_H-M 'P 1'
_symmetry_Int_Tables_number 1
_cell_length_a 7.603
_cell_length_b 8.771
_cell_length_c 7.532
_cell_angle_alpha 90.00
_cell_angle_beta 109.82
_cell_angle_gamma 90.00
loop_
_symmetry_equiv_pos_as_xyz
'x,y,z'
loop_
_atom_site_label
_atom_site_type_symbol
_atom_site_fract_x
_atom_site_fract_y
_atom_site_fract_z
Sr1 Sr 0.000 0.121 0.250
Sr2 Sr 0.000 0.378 0.750
Sr3 Sr 0.000 0.622 0.250
Sr4 Sr 0.000 0.879 0.750
Sr5 Sr 0.500 0.123 0.750
Sr6 Sr 0.500 0.877 0.250
Np1 Np 0.500 0.374 0.250
Np2 Np 0.500 0.626 0.750
As1 As 0.269 0.152 0.027
As2 As 0.269 0.848 0.527
As3 As 0.292 0.395 0.497
As4 As 0.292 0.605 0.997
As5 As 0.708 0.395 0.003
As6 As 0.708 0.605 0.503
As7 As 0.731 0.152 0.473
As8 As 0.731 0.848 0.973

---

# Sr5NpAs4 (PBE-GGA, relaxed)
# - total magnetization (μB per cell) = 4.823
# - calculated formation energy (eV per formula unit) = -8.5
# - total DFT energy (no corrections) (eV/atom) = -4.85
data_Sr5NpAs4
_chemical_formula_sum 'Sr5 Np1 As4'
_symmetry_space_group_name_H-M 'P 1'
_symmetry_Int_Tables_number 1
_cell_length_a 9.831
_cell_length_b 9.831
_cell_length_c 8.647
_cell_angle_alpha 103.89
_cell_angle_beta 103.89
_cell_angle_gamma 26.18
loop_
_symmetry_equiv_pos_as_xyz
'x,y,z'
loop_
_atom_site_label
_atom_site_type_symbol
_atom_site_fract_x
_atom_site_fract_y
_atom_site_fract_z
Sr1 Sr 0.000 0.000 0.000
Sr2 Sr 0.331 0.331 0.646
Sr3 Sr 0.338 0.338 0.172
Sr4 Sr 0.662 0.662 0.828
Sr5 Sr 0.669 0.669 0.354
Np1 Np 0.000 0.000 0.500
As1 As 0.161 0.161 0.594
As2 As 0.498 0.498 0.732
As3 As 0.502 0.502 0.268
As4 As 0.839 0.839 0.406

---

# Sr2ThNpAs4 (PBE-GGA, relaxed)
# - total magnetization (μB per cell) = 3.002
# - calculated formation energy (eV per formula unit) = -8.9
# - total DFT energy (no corrections) (eV/atom) = -6.41
data_Sr2ThNpAs4
_chemical_formula_sum 'Sr2 Th1 Np1 As4'
_symmetry_space_group_name_H-M 'P 1'
_symmetry_Int_Tables_number 1
_cell_length_a 7.469
_cell_length_b 4.319
_cell_length_c 7.586
_cell_angle_alpha 90.00
_cell_angle_beta 109.20
_cell_angle_gamma 90.00
loop_
_symmetry_equiv_pos_as_xyz
'x,y,z'
loop_
_atom_site_label
_atom_site_type_symbol
_atom_site_fract_x
_atom_site_fract_y
_atom_site_fract_z
Sr1 Sr 0.000 0.000 0.000
Sr2 Sr 0.500 0.500 0.000
Th1 Th 0.000 0.500 0.500
Np1 Np 0.500 0.000 0.500
As1 As 0.248 0.000 0.724
As2 As 0.268 0.500 0.282
As3 As 0.732 0.500 0.718
As4 As 0.752 0.000 0.276

---

Look up the total magnetization of the tenth one.
4.823 μB per cell

---

Which value of calculated formation energy does entry 9 give?
-7.5 eV per formula unit

---

Which of these has the highest total DFT energy (no corrections)?
Sr5NpAs4